Entry 1:
An optimized crystal structure of KSiTe3, computed with PBE.

Calculated volume   38.8 Å³/atom
DOS at the Fermi energy   3.03 states/eV per cell
Total magnetization   0.000 μB/atom
Total energy   -17.81 eV/f.u.

a = 9.3643 Å, b = 7.7733 Å, c = 13.6082 Å
α = 90.00°, β = 128.46°, γ = 90.00°
Space group P2_1/c (No. 14)
Asymmetric unit:
1 K 0.2035 0.2347 0.3609 [4 per cell]
2 Si 0.1410 0.6681 0.5408 [4 per cell]
3 Te 0.2106 0.1493 0.1107 [4 per cell]
4 Te 0.2736 0.6287 0.2211 [4 per cell]
5 Te 0.2834 0.7256 0.9426 [4 per cell]

---

Entry 2:
An optimized crystal structure of KSi2Te, computed with PBE.

Calculated volume   24.1 Å³/atom
DOS at the Fermi energy   2.80 states/eV per cell
Total magnetization   0.000 μB/atom
Total energy   -13.19 eV/f.u.

a = 4.4927 Å, b = 4.4927 Å, c = 4.7729 Å
α = 90.00°, β = 90.00°, γ = 90.00°
Space group P4/mmm (No. 123)
Asymmetric unit:
1 K 0.0000 0.0000 0.0000 [1 per cell]
2 Si 0.0000 0.5000 0.5000 [2 per cell]
3 Te 0.5000 0.5000 0.0000 [1 per cell]